No. 1
# KHo2CuS4

A geometry-optimized KHo2CuS4 structure (PBEsol, Alexandria).

```
KHo2CuS4
1.0
3.877 0.000 0.000
-1.938 6.632 0.000
0.000 0.000 13.461
Cu K S Ho
2 2 8 4
Cartesian
0.000 2.156 3.365 Cu
1.938 4.476 10.096 Cu
0.000 1.452 10.096 K
1.938 5.181 3.365 K
0.000 3.500 1.503 S
1.938 3.132 8.233 S
0.000 5.735 10.096 S
0.000 3.500 5.228 S
0.000 0.000 6.731 S
1.938 3.132 11.959 S
1.938 0.898 3.365 S
0.000 0.000 0.000 S
1.938 1.782 5.881 Ho
0.000 4.851 7.580 Ho
1.938 1.782 0.849 Ho
0.000 4.851 12.612 Ho
```

Total magnetic moment (Bohr magnetons per cell): 0.000
E_form (uncorrected) (eV/f.u.): -13.62



No. 2
# Zr2Si

A geometry-optimized Zr2Si structure (PBEsol, Alexandria).

```
Zr2Si
1.0
5.254 0.000 0.000
2.627 4.632 0.000
2.627 0.000 4.632
Si Zr
2 4
Cartesian
1.314 0.000 0.000 Si
3.941 0.000 0.000 Si
7.882 3.775 2.316 Zr
5.254 2.316 0.857 Zr
2.627 0.857 2.316 Zr
5.254 2.316 3.775 Zr
```

Fermi-level density of states (states/eV/cell): 3.31
Total magnetic moment (Bohr magnetons per cell): 0.000
E_form (uncorrected) (eV/f.u.): -2.52



No. 3
# Al2ZnCr

A geometry-optimized Al2ZnCr structure (PBEsol, Alexandria).

```
Al2ZnCr
1.0
-0.910 1.788 -1.712
-2.364 -1.168 0.036
-2.236 4.717 6.115
Cr Al Zn
1 2 1
Cartesian
-1.120 2.363 3.063 Cr
-2.242 1.587 0.817 Al
-2.222 4.686 6.075 Al
-3.280 3.777 3.656 Zn
```

Fermi-level density of states (states/eV/cell): 2.59
Total magnetic moment (Bohr magnetons per cell): 0.002
Formation energy from the elements (eV per formula unit): 0.54